Computed, not measured: a relaxed structure of SrVHO2 at the GGA+U level of DFT.

Calculated values
SG: No. 123
Crystal system: tetragonal

Cell: 4.021 4.021 3.706 Å, 90.00 90.00 90.00°
Sites, in units of the cell vectors:
Sr 0.500 0.500 0.500
H 0.000 0.000 0.500
O 0.000 0.500 0.000
O 0.500 0.000 0.000
V 0.000 0.000 0.000

Computed, not measured: a relaxed structure of SrV2HO6 at the GGA+U level of DFT.

Calculated values
SG: No. 15
Crystal system: monoclinic

Cell: 6.357 7.309 7.309 Å, 108.82 76.27 76.27°
Sites, in units of the cell vectors:
Sr 0.250 0.875 0.125
Sr 0.750 0.125 0.875
V 0.320 0.728 0.579
V 0.180 0.421 0.272
V 0.680 0.272 0.421
V 0.820 0.579 0.728
H 0.250 0.087 0.913
H 0.750 0.913 0.087
O 0.180 0.959 0.817
O 0.320 0.183 0.041
O 0.820 0.041 0.183
O 0.680 0.817 0.959
O 0.386 0.825 0.404
O 0.114 0.596 0.175
O 0.614 0.175 0.596
O 0.886 0.404 0.825
O 0.048 0.662 0.592
O 0.452 0.408 0.338
O 0.952 0.338 0.408
O 0.548 0.592 0.662

Asked for E across the records above, the calculation gives -6.342, -6.925 eV per atom in order.